DFT (PBE) results for YEr6Se8 after structural relaxation.

Lattice parameters (Å, degrees): 11.7031 11.7031 12.3034 90.00 90.00 120.00
Space group R-3 (No. 148, hexagonal axes)
Asymmetric unit:
Y  0.0000  0.0000  0.0000 x3
Er  0.0061  0.1853  0.3788 x18
Se  0.0000  0.0000  0.2262 x6
Se  0.0177  0.2829  0.5913 x18

Results
Formation energy (no corrections), eV per atom: -1.456
Energy relative to the lowest polymorph listed for this composition, kcal/mol of atoms: 7.92
Calculated density, g cm⁻³: 5.89